No. 1
FeRhW2, relaxed, DFT GGA-PBE; symmetry = Fm-3m (225); ΔH_f (0 K) = 332 meV per atom; E_tot = -10.099 eV per atom; calculated density = 14.91 Mg/m³; Fermi-level density of states = 5.61 states/eV/cell
1.0
2.653 1.962 2.852
-0.603 4.200 1.006
-1.480 1.106 3.950
W Rh Fe
2 1 1
Cartesian
0.427 5.451 5.856
0.142 1.817 1.952
0.285 3.634 3.904
0.000 0.000 0.000

=====

No. 2
KZrSeBr2, relaxed, DFT GGA-PBE; symmetry = P4/mmm (123); E_tot = -2.987 eV per atom; ΔE_f (raw) = 0.308 eV/atom; calculated density = 3.47 Mg/m³; Fermi-level density of states = 4.82 states/eV/cell
1.0
5.543 0.000 0.000
0.000 5.543 0.000
0.000 0.000 5.742
K Zr Se Br
1 1 1 2
Cartesian
0.000 0.000 0.000
2.772 2.772 2.871
0.000 0.000 2.871
2.772 0.000 0.000
0.000 2.772 0.000

=====

No. 3
MnInCuNi, relaxed, DFT GGA-PBE; symmetry = F-43m (216); ΔH_f (0 K) = 0 meV per atom; E_tot = -5.447 eV per atom; calculated density = 8.42 Mg/m³; Fermi-level density of states = 2.31 states/eV/cell
1.0
4.335 0.000 0.000
2.168 3.755 0.000
2.168 1.252 3.540
In Ni Cu Mn
1 1 1 1
Cartesian
0.000 0.000 0.000
6.503 3.755 2.655
2.168 1.252 0.885
4.335 2.503 1.770

=====

No. 4
Li2YTl2, relaxed, DFT GGA-PBE; symmetry = C2/m (12); ΔH_f (0 K) = -221 meV per atom; E_tot = -3.226 eV per atom; calculated density = 7.60 Mg/m³; Fermi-level density of states = 2.23 states/eV/cell
1.0
-1.540 -1.099 4.880
1.782 -4.146 2.651
3.685 1.551 3.373
Li Tl Y
2 2 1
Cartesian
1.889 -2.255 3.062
2.039 -1.439 7.843
0.432 -1.409 5.406
3.496 -2.285 5.498
-0.770 -0.550 2.440

=====

No. 5
Ca2RuBr, relaxed, DFT GGA-PBE; symmetry = P4mm (99); E_tot = -3.979 eV per atom; ΔE_f (raw) = -0.241 eV/atom; calculated density = 4.13 Mg/m³; Fermi-level density of states = 5.71 states/eV/cell
1.0
-1.282 3.589 -1.798
-1.414 -2.170 -3.324
-5.267 -0.572 2.614
Br Ca Ru
1 2 1
Cartesian
-5.891 0.216 -0.307
-3.265 0.501 -1.609
-4.734 -0.514 2.349
-1.974 -0.214 0.980

=====

No. 6
Be2Zn2Cd, relaxed, DFT GGA-PBE; symmetry = P4/mbm (127); ΔH_f (0 K) = 322 meV per atom; E_tot = -1.861 eV per atom; calculated density = 6.16 Mg/m³; Fermi-level density of states = 2.83 states/eV/cell
1.0
-6.645 -3.195 0.150
1.865 -4.153 -5.802
0.913 -1.823 1.598
Zn Be Cd
4 4 2
Cartesian
-4.656 -5.390 -3.489
-0.123 -1.957 -2.162
-0.864 -4.838 -5.026
-3.916 -2.509 -0.626
0.556 -4.267 -3.087
-2.483 -6.495 -3.891
-4.424 -4.903 -0.968
-1.384 -2.676 -0.163
-2.390 -3.674 -2.826
0.000 0.000 0.000